This record from Alexandria via LeMat-Bulk describes a geometry-optimized MgTiAgF6 structure. The functional is PBE. Values from VASP.

```
&SYSTEM
  ibrav = 0, nat = 18, ntyp = 4
/
ATOMIC_SPECIES
F 19.00 F.upf
Mg 24.30 Mg.upf
Ti 47.87 Ti.upf
Ag 107.87 Ag.upf
ATOMIC_POSITIONS crystal
F 0.372 0.374 0.852
F 0.626 0.628 0.648
F 0.628 0.002 0.352
F 0.374 0.372 0.352
F 0.372 0.998 0.648
F 0.002 0.374 0.648
F 0.998 0.626 0.352
F 0.626 0.998 0.852
F 0.998 0.372 0.148
F 0.002 0.628 0.852
F 0.374 0.002 0.148
F 0.628 0.626 0.148
Mg 0.667 0.333 0.750
Mg 0.333 0.667 0.250
Ti 0.667 0.333 0.250
Ti 0.333 0.667 0.750
Ag 0.000 0.000 0.000
Ag 0.000 0.000 0.500
CELL_PARAMETERS angstrom
-0.378 -5.404 0.359
0.079 2.398 -4.870
10.228 -0.728 -0.193
```

Calculated values
Theoretical density   3.73 Mg/m³
DFT total energy   -5.46 eV/atom